Material: ZrNbSi2
Method: DFT, GGA-PBE
State: relaxed

Cell: 3.773 5.187 6.796 Å, 90.00 90.00 90.00°
Sites, in units of the cell vectors:
Zr (0.500, 0.378, 0.325)
Zr (0.500, 0.622, 0.825)
Nb (0.000, 0.129, 0.676)
Nb (0.000, 0.871, 0.176)
Si (0.000, 0.617, 0.543)
Si (0.000, 0.383, 0.043)
Si (0.500, 0.891, 0.456)
Si (0.500, 0.109, 0.956)

Summary:
The value obtained for the energy above the most stable polymorph in this dataset is 0 meV per atom. The raw total energy is -8.10 eV/atom. For the density of states at the Fermi level, the calculation gives 1.80 states/eV/f.u. As for the raw formation energy: -0.74 eV per atom.